Entry 1:
Computed, not measured: crystalline Pm2Ho3ErTm6 at its relaxed geometry at the GGA-PBE level of DFT.

Cell: 6.104 6.104 11.657 Å, 95.00 95.00 119.95°
Positions (direct):
Pm 0.167 0.833 0.000
Pm 0.833 0.167 0.000
Ho 0.000 0.000 0.500
Ho 0.333 0.667 0.500
Ho 0.667 0.333 0.500
Er 0.500 0.500 0.000
Tm 0.083 0.416 0.748
Tm 0.252 0.252 0.252
Tm 0.416 0.083 0.748
Tm 0.584 0.917 0.252
Tm 0.748 0.748 0.748
Tm 0.917 0.584 0.252

Space-group type: C2/m, No. 12
DFT total energy in eV per atom: -4.53
Volume in Å³/cell: 370.6
Magnetization in μB per cell: 0.00
DOS at the Fermi energy in states/eV per cell: 16.07

***

Entry 2:
Computed, not measured: crystalline Pm3Ho2ErTm6 at its relaxed geometry at the GGA-PBE level of DFT.

Cell: 6.129 6.129 11.663 Å, 95.02 95.02 119.96°
Positions (direct):
Pm 0.000 0.000 0.000
Pm 0.333 0.667 0.000
Pm 0.667 0.333 0.000
Ho 0.167 0.833 0.500
Ho 0.833 0.167 0.500
Er 0.500 0.500 0.500
Tm 0.085 0.418 0.253
Tm 0.249 0.249 0.747
Tm 0.418 0.085 0.253
Tm 0.582 0.915 0.747
Tm 0.751 0.751 0.253
Tm 0.915 0.582 0.747

Space-group type: C2/m, No. 12
DFT total energy in eV per atom: -4.54
Volume in Å³/cell: 373.7
Magnetization in μB per cell: 0.00
DOS at the Fermi energy in states/eV per cell: 16.08

***

Number 1: calculated formation energy 0.022 eV/atom. Number 2: calculated formation energy 0.023 eV/atom.